Computed, not measured: a relaxed structure of KRb2TlF at the PBE-GGA level of DFT.

## Properties
DOS at the Fermi energy	0.5525	states/eV per atom
M_tot	0.00	μB per cell
space-group type	P4/mmm, No. 123
ΔE_f (raw)	-5.09	eV/f.u.

Cell lengths 5.8281, 5.8281, 5.6232 Å; angles 90.00, 90.00, 90.00 degrees
Fractional positions:
K 0.0000 0.0000 0.5000
Rb 0.0000 0.5000 0.0000
F 0.0000 0.0000 0.0000
Rb 0.5000 0.0000 0.0000
Tl 0.5000 0.5000 0.5000

=====

Computed, not measured: a relaxed structure of K2Rb3TlF6 at the PBE-GGA level of DFT.

## Properties
DOS at the Fermi energy	0.0000	states/eV per atom
M_tot	0.00	μB per cell
space-group type	C2/m, No. 12
ΔE_f (raw)	-30.36	eV/f.u.

Cell lengths 3.9716, 7.9643, 8.8798 Å; angles 102.98, 102.92, 90.00 degrees
Fractional positions:
F 0.6699 0.5768 0.3398
F 0.3329 0.9073 0.6659
Rb 0.8339 0.1677 0.6678
Tl 0.5000 0.0000 0.0000
K 0.1677 0.3354 0.3355
Rb 0.5000 0.5000 0.0000
F 0.3301 0.4232 0.6602
F 0.9958 0.7472 0.9916
Rb 0.1661 0.8323 0.3322
K 0.8323 0.6646 0.6645
F 0.0042 0.2528 0.0084
F 0.6671 0.0927 0.3341

=====

Computed, not measured: a relaxed structure of KRb2TlF4 at the PBE-GGA level of DFT.

## Properties
DOS at the Fermi energy	0.0000	states/eV per atom
M_tot	0.00	μB per cell
space-group type	P2/m, No. 10
ΔE_f (raw)	-19.58	eV/f.u.

Cell lengths 3.9877, 6.9057, 6.9123 Å; angles 70.72, 90.00, 90.00 degrees
Fractional positions:
F 0.0000 0.2549 0.2551
Tl 0.5000 0.5000 0.0000
K 0.0000 0.5000 0.5000
Rb 0.5000 0.0000 0.5000
Rb 0.0000 0.0000 0.0000
F 0.0000 0.7451 0.7449
F 0.5000 0.2592 0.7421
F 0.5000 0.7408 0.2579

=====

Computed, not measured: a relaxed structure of KRbTlF3 at the PBE-GGA level of DFT.

## Properties
DOS at the Fermi energy	0.0000	states/eV per atom
M_tot	0.00	μB per cell
space-group type	P2_1/m, No. 11
ΔE_f (raw)	-14.09	eV/f.u.

Cell lengths 3.8328, 7.9472, 10.6765 Å; angles 113.18, 90.00, 90.00 degrees
Fractional positions:
Tl 0.7500 0.6688 0.4288
Tl 0.2500 0.3312 0.5712
F 0.7500 0.3513 0.4119
Rb 0.2500 0.1977 0.1715
F 0.2500 0.0854 0.8874
F 0.2500 0.5162 0.8420
Rb 0.7500 0.8023 0.8285
K 0.7500 0.3029 0.8856
F 0.2500 0.6487 0.5881
F 0.7500 0.9146 0.1126
K 0.2500 0.6971 0.1144
F 0.7500 0.4838 0.1580

=====

Computed, not measured: a relaxed structure of K3Rb2TlF6 at the PBE-GGA level of DFT.

## Properties
DOS at the Fermi energy	0.0000	states/eV per atom
M_tot	0.00	μB per cell
space-group type	C2/m, No. 12
ΔE_f (raw)	-30.49	eV/f.u.

Cell lengths 3.9259, 7.8913, 8.8003 Å; angles 103.11, 102.89, 90.00 degrees
Fractional positions:
K 0.8341 0.1666 0.6683
Tl 0.5000 0.0000 0.0000
F 0.0031 0.7431 0.0061
F 0.6688 0.0747 0.3376
F 0.3366 0.4095 0.6732
F 0.6634 0.5905 0.3268
K 0.1659 0.8334 0.3317
F 0.9969 0.2569 0.9939
Rb 0.8336 0.6679 0.6671
K 0.5000 0.5000 0.0000
F 0.3312 0.9253 0.6624
Rb 0.1664 0.3321 0.3329

=====

Computed, not measured: a relaxed structure of KRb2UF8 at the PBE-GGA level of DFT.

## Properties
DOS at the Fermi energy	0.7419	states/eV per atom
M_tot	1.00	μB per cell
space-group type	I-4m2, No. 119
ΔE_f (raw)	-38.86	eV/f.u.

Cell lengths 6.2177, 6.2177, 7.4305 Å; angles 114.73, 114.73, 90.00 degrees
Each line ends with the local moment (μB).
Fractional positions:
F 0.1534 0.6491 0.7142  -0.01
F 0.1534 0.0651 0.7142  -0.01
F 0.5608 0.0651 0.7142  -0.01
U 0.2500 0.7500 0.5000  1.03
Rb 0.7500 0.2500 0.5000  0.00
F 0.3509 0.4392 0.2858  -0.01
Rb 0.0000 0.0000 0.0000  0.00
F 0.3509 0.8466 0.2858  -0.01
F 0.9349 0.4392 0.2858  -0.01
F 0.9349 0.8466 0.2858  -0.01
F 0.5608 0.6491 0.7142  -0.01
K 0.5000 0.5000 0.0000  0.00

=====

Computed, not measured: a relaxed structure of K2RbUF6 at the PBE-GGA level of DFT.

## Properties
DOS at the Fermi energy	0.7072	states/eV per atom
M_tot	2.89	μB per cell
space-group type	P1, No. 1
ΔE_f (raw)	-30.21	eV/f.u.

Cell lengths 6.7147, 6.7201, 6.9349 Å; angles 60.68, 60.59, 59.95 degrees
Each line ends with the local moment (μB).
Fractional positions:
F 0.3961 0.6679 0.7760  0.00
U 0.3154 0.3155 0.0533  2.77
Rb 0.8044 0.8064 0.5838  0.00
F 0.1490 0.4009 0.7851  0.00
F 0.9764 0.5776 0.2424  -0.01
F 0.5779 0.2126 0.2368  -0.01
K 0.5339 0.5342 0.3985  0.00
F 0.6688 0.1499 0.7852  0.00
K 0.0270 0.0253 0.9230  0.00
F 0.2126 0.9714 0.2312  -0.01